! PBE-GGA Tb4TeRu, relaxed; values from VASP
&SYSTEM
  ibrav = 0, nat = 24, ntyp = 3
/
ATOMIC_SPECIES
Tb 158.93 Tb.upf
Te 127.60 Te.upf
Ru 101.07 Ru.upf
ATOMIC_POSITIONS angstrom
Tb 0.022 1.004 1.324
Tb 0.352 3.012 4.207
Tb 1.141 3.012 12.569
Tb 1.162 3.012 8.832
Tb 2.929 1.004 18.594
Tb 2.949 1.004 2.807
Tb 3.739 1.004 13.969
Tb 4.069 3.012 11.086
Tb 4.113 1.004 8.438
Tb 4.443 3.012 5.555
Tb 5.232 3.012 16.717
Tb 5.253 3.012 0.930
Tb 7.020 1.004 10.692
Tb 7.040 1.004 6.955
Tb 7.829 1.004 15.317
Tb 8.159 3.012 18.199
Te 1.986 1.004 6.045
Te 2.105 3.012 15.807
Te 6.077 1.004 3.717
Te 6.196 3.012 13.479
Ru 2.001 1.004 10.731
Ru 2.090 3.012 0.969
Ru 6.092 1.004 18.555
Ru 6.180 3.012 8.793
CELL_PARAMETERS angstrom
8.181 0.000 0.000
0.000 4.017 0.000
0.000 0.000 19.524
! Volume: 641.6 Å³ per cell
! Spin magnetization: 0.0 μB per formula unit
! Energy above the most stable polymorph in this dataset: 0.000 eV per atom
! Total DFT energy (no corrections): -5.806 eV per atom
! Mass density: 8.95 g/cm3

---

! PBE-GGA Tb2TeRu, relaxed; values from VASP
&SYSTEM
  ibrav = 0, nat = 4, ntyp = 3
/
ATOMIC_SPECIES
Tb 158.93 Tb.upf
Te 127.60 Te.upf
Ru 101.07 Ru.upf
ATOMIC_POSITIONS angstrom
Tb 0.000 0.000 5.202
Tb 0.000 0.000 16.734
Te 0.000 0.000 0.000
Ru 0.000 0.000 10.968
CELL_PARAMETERS angstrom
2.051 1.184 7.312
-2.051 1.184 7.312
0.000 -2.368 7.312
! Volume: 106.6 Å³ per cell
! Spin magnetization: 0.0 μB per formula unit
! Energy above the most stable polymorph in this dataset: 0.065 eV per atom
! Total DFT energy (no corrections): -6.067 eV per atom
! Mass density: 8.52 g/cm3

---

! PBE-GGA Tb3Te2Ru, relaxed; values from VASP
&SYSTEM
  ibrav = 0, nat = 12, ntyp = 3
/
ATOMIC_SPECIES
Tb 158.93 Tb.upf
Te 127.60 Te.upf
Ru 101.07 Ru.upf
ATOMIC_POSITIONS angstrom
Tb 1.932 3.175 0.000
Tb 0.359 0.836 3.329
Tb -0.837 -0.836 6.752
Tb 0.735 -3.175 3.423
Tb 6.170 0.836 0.094
Tb 4.974 -0.836 3.518
Te 2.068 2.978 5.135
Te 3.265 1.016 1.712
Te 2.068 -1.016 5.135
Te 3.265 -2.978 1.712
Ru 3.265 5.143 1.712
Ru 2.068 -5.143 5.135
CELL_PARAMETERS angstrom
3.863 -6.349 0.000
3.863 6.349 0.000
-2.393 0.000 6.847
! Volume: 335.9 Å³ per cell
! Spin magnetization: 0.0 μB per formula unit
! Energy above the most stable polymorph in this dataset: 0.004 eV per atom
! Total DFT energy (no corrections): -5.818 eV per atom
! Mass density: 8.24 g/cm3

---

What did the first record say?
! PBE-GGA Tb4TeRu, relaxed; values from VASP
&SYSTEM
  ibrav = 0, nat = 24, ntyp = 3
/
ATOMIC_SPECIES
Tb 158.93 Tb.upf
Te 127.60 Te.upf
Ru 101.07 Ru.upf
ATOMIC_POSITIONS angstrom
Tb 0.022 1.004 1.324
Tb 0.352 3.012 4.207
Tb 1.141 3.012 12.569
Tb 1.162 3.012 8.832
Tb 2.929 1.004 18.594
Tb 2.949 1.004 2.807
Tb 3.739 1.004 13.969
Tb 4.069 3.012 11.086
Tb 4.113 1.004 8.438
Tb 4.443 3.012 5.555
Tb 5.232 3.012 16.717
Tb 5.253 3.012 0.930
Tb 7.020 1.004 10.692
Tb 7.040 1.004 6.955
Tb 7.829 1.004 15.317
Tb 8.159 3.012 18.199
Te 1.986 1.004 6.045
Te 2.105 3.012 15.807
Te 6.077 1.004 3.717
Te 6.196 3.012 13.479
Ru 2.001 1.004 10.731
Ru 2.090 3.012 0.969
Ru 6.092 1.004 18.555
Ru 6.180 3.012 8.793
CELL_PARAMETERS angstrom
8.181 0.000 0.000
0.000 4.017 0.000
0.000 0.000 19.524
! Volume: 641.6 Å³ per cell
! Spin magnetization: 0.0 μB per formula unit
! Energy above the most stable polymorph in this dataset: 0.000 eV per atom
! Total DFT energy (no corrections): -5.806 eV per atom
! Mass density: 8.95 g/cm3

---

Question: energy above the most stable polymorph in this dataset of number 3 (Tb3Te2Ru)?
Answer: 0.004 eV per atom

---

Question: Look up the mass density of the first one.
Answer: 8.95 g/cm3